## NbCoAu2 (PBE-GGA)

Data for a geometry-optimized NbCoAu2 structure.

Values from the calculation:
distance to the lowest polymorph of the same formula = 341 meV/atom
magnetization = 0.0 μB per formula unit
space group = I-42d, No. 122
total DFT energy (no corrections) = -5.42 eV/atom

Cell lengths 5.781, 5.781, 5.781 Å; angles 101.80, 101.80, 126.24 degrees
Fractional coordinates of all 8 atoms:
Nb (0.000, 0.000, 0.000)
Nb (0.750, 0.250, 0.500)
Co (0.250, 0.750, 0.500)
Co (0.500, 0.500, 0.000)
Au (0.153, 0.125, 0.528)
Au (0.375, 0.847, 0.972)
Au (0.597, 0.625, 0.472)
Au (0.875, 0.403, 0.028)